A relaxed structure of ReTeW2. Source: Alexandria via LeMat-Bulk, functional PBE-GGA.

a b c (Å): 3.2088 4.5350 9.2600
angles (deg): 90.00 90.00 90.00
Closest atoms and distances in Å follow each position.
Element x y z (fractional)
Re1 0.0000 0.0000 0.0000  4 Te 2.78, 4 W 2.86
Re2 0.5000 0.5000 0.5000  4 Te 2.78, 4 W 2.86
Te1 0.0000 0.0000 0.5000  4 W 2.77, 4 Re 2.78
Te2 0.5000 0.5000 0.0000  4 W 2.77, 4 Re 2.78
W1 0.0000 0.5000 0.2437  2 Te 2.77, 4 W 2.78, 2 Re 2.86
W2 0.0000 0.5000 0.7563  2 Te 2.77, 4 W 2.78, 2 Re 2.86
W3 0.5000 0.0000 0.2563  2 Te 2.77, 4 W 2.78, 2 Re 2.86
W4 0.5000 0.0000 0.7437  2 Te 2.77, 4 W 2.78, 2 Re 2.86

Crystal system: orthorhombic
Symmetry: Immm (71)
Raw formation energy, eV/atom: 0.660


A relaxed structure of KFe2Ir. Source: Alexandria via LeMat-Bulk, functional PBE-GGA.

a b c (Å): 2.6665 5.1444 10.1254
angles (deg): 90.00 90.00 90.00
Closest atoms and distances in Å follow each position.
Element x y z (fractional)
K1 0.0000 0.0000 0.0000  2 K 2.67, 4 Fe 2.90
K2 0.5000 0.5000 0.5000  2 K 2.67, 4 Fe 2.90
Fe1 0.0000 0.0000 0.4939  4 Fe 2.45-2.67, 2 Ir 2.53
Fe2 0.0000 0.5000 0.7910  4 Fe 2.45-2.67
Fe3 0.5000 0.0000 0.2910  4 Fe 2.45-2.67
Fe4 0.5000 0.5000 0.9939  4 Fe 2.45-2.67, 2 Ir 2.53
Ir1 0.0000 0.5000 0.2060  2 Fe 2.53, 2 Ir 2.67
Ir2 0.5000 0.0000 0.7060  2 Fe 2.53, 2 Ir 2.67

ΔH_f (0 K), meV/atom: 840
Crystal system: orthorhombic
Symmetry: Imm2 (44)


Short version: E = -38.9; -23.5 eV per formula unit, in the order given.